# 1
Entry from Alexandria via LeMat-Bulk: an optimized crystal structure of Y5Ho2Tm2 (PBE-GGA).

* calculated volume: 1162.86 Å³/cell
* relative energy among the computed polymorphs: 0.177 eV per atom
* D(E_F): 1.6607 states/eV per atom
* DFT total energy: -5.399 eV per atom

Unit cell a=15.1008 b=12.7086 c=6.0594 alpha=90.00 beta=90.00 gamma=90.00
With the nearest neighbours (Å) after each atom.
Space group Ima2 (No. 46)
Unique sites:
Y: 0.0469 0.1960 0.0000  5 Y 3.33-3.52, 2 Tm 3.49-3.51, 1 Ho 3.61
Y: 0.1432 0.6878 0.8360  5 Y 3.23-3.52, 2 Ho 3.26-3.44, 3 Tm 3.37-3.56
Y: 0.2500 0.1837 0.7470  2 Ho 3.26-3.39, 4 Y 3.43-3.47, 2 Tm 3.44
Ho: 0.0000 0.0000 0.4144  4 Y 3.26-3.61, 2 Tm 3.39
Ho: 0.2500 0.0502 0.2872  4 Y 3.26-3.44, 2 Tm 3.41
Tm: 0.1377 0.5476 0.3444  6 Y 3.37-3.56, 2 Ho 3.39-3.41, 1 Tm 3.39



# 2
Entry from Alexandria via LeMat-Bulk: an optimized crystal structure of LaGe2IrPd2 (PBE-GGA).

* calculated volume: 127.19 Å³/cell
* D(E_F): 0.4351 states/eV per atom
* DFT total energy: -5.984 eV per atom

Unit cell a=4.7660 b=4.7660 c=5.5994 alpha=90.00 beta=90.00 gamma=90.00
With the nearest neighbours (Å) after each atom.
Space group P4/mmm (No. 123)
Unique sites:
La: 0.0000 0.0000 0.0000  2 Ir 2.80
Ge: 0.0000 0.5000 0.5000  2 Ir 2.38
Ir: 0.0000 0.0000 0.5000  4 Ge 2.38
Pd: 0.5000 0.5000 0.2447  2 Pd 2.74-2.86, 4 Ge 2.78



# 3
Entry from Alexandria via LeMat-Bulk: an optimized crystal structure of TbZnSi2Pd (PBE-GGA).

* calculated volume: 170.98 Å³/cell
* D(E_F): 0.2337 states/eV per atom
* DFT total energy: -5.127 eV per atom

Unit cell a=4.0490 b=4.0490 c=10.4295 alpha=90.00 beta=90.00 gamma=90.00
With the nearest neighbours (Å) after each atom.
Space group I-4m2 (No. 119)
Unique sites:
Tb: 0.0000 0.0000 0.0000  8 Si 3.09, 4 Pd 3.30, 4 Zn 3.30
Zn: 0.0000 0.5000 0.7500  4 Si 2.49
Si: 0.0000 0.0000 0.3882  1 Si 2.33, 2 Pd 2.49, 2 Zn 2.49
Pd: 0.0000 0.5000 0.2500  4 Si 2.49



# 4
Entry from Alexandria via LeMat-Bulk: an optimized crystal structure of Tl2Pd2C (PBE-GGA).

* calculated volume: 220.18 Å³/cell
* relative energy among the computed polymorphs: 0.211 eV per atom
* D(E_F): 0.6556 states/eV per atom
* DFT total energy: -4.153 eV per atom

Unit cell a=5.7825 b=5.7825 c=6.5849 alpha=90.00 beta=90.00 gamma=90.00
With the nearest neighbours (Å) after each atom.
Space group I4/mmm (No. 139)
Unique sites:
Tl: 0.0000 0.5000 0.2500  4 Pd 2.90
Pd: 0.0000 0.0000 0.2157  1 C 1.87
C: 0.0000 0.0000 0.5000  2 Pd 1.87



# 5
Entry from Alexandria via LeMat-Bulk: an optimized crystal structure of Mg2MnTc (PBE-GGA).

* calculated volume: 132.08 Å³/cell
* relative energy among the computed polymorphs: 0.233 eV per atom
* D(E_F): 0.7851 states/eV per atom
* DFT total energy: -5.376 eV per atom

Unit cell a=3.3432 b=4.3490 c=9.0843 alpha=90.00 beta=90.00 gamma=90.00
With the nearest neighbours (Å) after each atom.
Space group Cmmm (No. 65)
Unique sites:
Mg: 0.0000 0.0000 0.2464  4 Mg 2.74, 2 Tc 2.79, 2 Mn 2.85
Mn: 0.0000 0.5000 0.5000  4 Mn 2.74, 4 Mg 2.85
Tc: 0.0000 0.5000 0.0000  4 Tc 2.74, 4 Mg 2.79



# 6
Entry from Alexandria via LeMat-Bulk: an optimized crystal structure of La4SiC (PBE-GGA).

* calculated volume: 374.00 Å³/cell
* D(E_F): 1.0293 states/eV per atom
* DFT total energy: -5.873 eV per atom

Unit cell a=10.0521 b=6.9161 c=5.3797 alpha=90.00 beta=90.00 gamma=90.00
With the nearest neighbours (Å) after each atom.
Space group Pmn2_1 (No. 31)
Unique sites:
La: 0.0000 0.1206 0.0000  1 C 2.48
La: 0.0000 0.7797 0.5251  1 C 2.38
La: 0.1994 0.3066 0.4903  1 C 2.38
Si: 0.0000 0.5550 0.0403  5 La 3.01-3.18
C: 0.0000 0.1238 0.5391  4 La 2.38-2.48



# 7
Entry from Alexandria via LeMat-Bulk: an optimized crystal structure of Cs2CaBrCl6 (PBE-GGA).

* calculated volume: 722.85 Å³/cell
* D(E_F): 0.7154 states/eV per atom
* DFT total energy: -3.059 eV per atom

Unit cell a=8.3487 b=8.3487 c=10.3708 alpha=90.00 beta=90.00 gamma=90.00
With the nearest neighbours (Å) after each atom.
Space group I4/mmm (No. 139)
Unique sites:
Cs: 0.0000 0.5000 0.2500  12 Cl 3.94-4.18
Ca: 0.0000 0.0000 0.0000  6 Cl 2.66-2.84
Br: 0.0000 0.0000 0.5000  2 Cl 2.35
Cl: 0.0000 0.0000 0.2736  1 Br 2.35
Cl: 0.2257 0.2257 0.0000  1 Ca 2.66



# 8
Entry from Alexandria via LeMat-Bulk: an optimized crystal structure of Tb3Tl2Cd4 (PBE-GGA).

* calculated volume: 457.63 Å³/cell
* relative energy among the computed polymorphs: 0.025 eV per atom
* D(E_F): 0.5237 states/eV per atom
* DFT total energy: -2.780 eV per atom

Unit cell a=11.1406 b=4.9746 c=9.3887 alpha=90.00 beta=118.42 gamma=90.00
With the nearest neighbours (Å) after each atom.
Space group C2/m (No. 12)
Unique sites:
Tb: 0.0000 0.0000 0.0000  8 Cd 3.33-3.53, 4 Tl 3.35, 2 Tb 3.53
Tb: 0.1663 0.5000 0.6704  8 Cd 3.25-3.46, 4 Tl 3.35-3.48, 2 Tb 3.53-3.56
Tl: 0.1077 0.5000 0.2716  3 Cd 2.92-2.93
Cd: 0.0717 0.0000 0.4094  1 Cd 2.83, 2 Tl 2.92
Cd: 0.2126 0.5000 0.0389  2 Cd 2.83, 1 Tl 2.93